## Sc3VCo (GGA-PBE)

Data for crystalline Sc3VCo at its relaxed geometry.

Computed properties:
- V (A^3/atom) = 21.77
- energy of formation from the pure elements (eV per atom) = 0.87
- space group = Pm-3m
- theoretical density (g cm⁻³) = 3.7
- electronic total energy (eV/atom) = -6.178
- energy above the lowest structure with this stoichiometry (eV/atom) = 0.6007

Lattice parameters (Å, degrees): 4.775 4.775 4.775 90.00 90.00 90.00
Fractional coordinates of all 5 atoms:
Sc (0.000, 0.000, 0.500)
Sc (0.000, 0.500, 0.000)
Sc (0.500, 0.000, 0.000)
V (0.000, 0.000, 0.000)
Co (0.500, 0.500, 0.500)